## Rb8Ni3O8 (PBE with a Hubbard U)

Data for a geometry-optimized Rb8Ni3O8 structure.

```
Rb8Ni3O8
1.0
1.063 -2.906 -4.826
5.836 -4.384 3.926
-9.335 -3.514 3.464
O Rb Ni
8 8 3
direct
0.519 0.312 0.037 O
0.176 0.407 0.352 O
0.270 0.169 0.540 O
0.730 0.831 0.460 O
0.112 0.019 0.225 O
0.824 0.593 0.648 O
0.481 0.688 0.963 O
0.888 0.981 0.775 O
0.197 0.805 0.394 Rb
0.605 0.950 0.210 Rb
0.973 0.761 0.946 Rb
0.669 0.466 0.338 Rb
0.803 0.195 0.606 Rb
0.395 0.050 0.790 Rb
0.331 0.534 0.662 Rb
0.027 0.239 0.054 Rb
0.500 0.500 0.000 Ni
0.812 0.794 0.624 Ni
0.188 0.206 0.376 Ni
```

Calculated values
**Final energy**: -75.677 eV/cell
**DOS(E_F)**: 0.0 states/eV/f.u.
**Symmetry**: C2/m (12)